Entry 1:
Compound: ZrPbI2
Source: the Alexandria database
Functional: GGA-PBE
Structure: relaxed

Geometry as POSCAR:
```
ZrPbI2
1.0
0.0000 3.8210 3.8210
3.8210 0.0000 3.8210
3.8210 3.8210 0.0000
Zr Pb I
1 1 2
Direct
0.0000 0.0000 0.0000 Zr
0.5000 0.5000 0.5000 Pb
0.2500 0.2500 0.2500 I
0.7500 0.7500 0.7500 I
```

Results
VASP energy: -3.7574 eV/atom
energy above the lowest structure with this stoichiometry: 0.78 eV per formula unit
M_tot: 0.0 μB per formula unit
space-group type: Fm-3m
E_form (uncorrected): 82 meV/atom

***

Entry 2:
Compound: PmSm2Cd
Source: the Alexandria database
Functional: GGA-PBE
Structure: relaxed

Geometry as POSCAR:
```
PmSm2Cd
1.0
1.8278 1.0553 11.0168
-1.8278 1.0553 11.0168
0.0000 -2.1106 11.0168
Pm Sm Cd
1 2 1
Direct
0.0000 0.0000 0.0000 Pm
0.2433 0.2433 0.2433 Sm
0.4229 0.4229 0.4229 Sm
0.8332 0.8332 0.8332 Cd
```

Results
VASP energy: -3.8315 eV/atom
energy above the lowest structure with this stoichiometry: 0.37 eV per formula unit
M_tot: 0.0 μB per formula unit
space-group type: R3m
DFT formation energy: -0.22 eV/f.u.